*w*
Material: Be2SbSe
Method: DFT, PBEsol
State: relaxed

Calculated values
The value obtained for the total magnetic moment is 0.000 μB/f.u.

Cell lengths 4.5938, 4.5938, 4.5938 Å; angles 60.00, 60.00, 60.00 degrees
With the nearest neighbours (Å) after each atom.
Fractional coordinates of all 4 atoms:
Se (0.2500, 0.2500, 0.2500)  4 Be 2.81, 4 Sb 2.81
Be (0.0000, 0.0000, 0.0000)  4 Se 2.81, 4 Be 2.81
Be (0.7500, 0.7500, 0.7500)  4 Sb 2.81, 4 Be 2.81
Sb (0.5000, 0.5000, 0.5000)  4 Be 2.81, 4 Se 2.81



*x*
Material: Be2SbSe
Method: DFT, PBEsol
State: relaxed

Calculated values
The value obtained for the total magnetic moment is 0.000 μB/f.u.

Cell lengths 3.1526, 3.1526, 6.4985 Å; angles 90.00, 90.00, 90.00 degrees
With the nearest neighbours (Å) after each atom.
Fractional coordinates of all 4 atoms:
Sb (0.5000, 0.5000, 0.0000)  8 Be 3.06, 4 Sb 3.15, 2 Se 3.25
Se (0.5000, 0.5000, 0.5000)  8 Be 2.51
Be (0.0000, 0.0000, 0.6785)  1 Be 2.32, 4 Se 2.51
Be (0.0000, 0.0000, 0.3215)  1 Be 2.32, 4 Se 2.51



Of them, *w* has the lowest stability.



*w*
Material: BeSi2Sb
Method: DFT, PBEsol
State: relaxed

Calculated values
The value obtained for the total magnetic moment is 0.000 μB/f.u.

Cell lengths 2.8151, 2.8151, 8.3656 Å; angles 90.00, 90.00, 90.00 degrees
With the nearest neighbours (Å) after each atom.
Fractional coordinates of all 4 atoms:
Be (0.5000, 0.5000, 0.0000)  8 Si 2.47
Si (0.0000, 0.0000, 0.1756)  4 Be 2.47
Si (0.0000, 0.0000, 0.8244)  4 Be 2.47
Sb (0.5000, 0.5000, 0.5000)  4 Sb 2.82



*x*
Material: BeSi2Sb
Method: DFT, PBEsol
State: relaxed

Calculated values
The value obtained for the total magnetic moment is 0.000 μB/f.u.

Cell lengths 4.5315, 4.5315, 4.5315 Å; angles 60.00, 60.00, 60.00 degrees
With the nearest neighbours (Å) after each atom.
Fractional coordinates of all 4 atoms:
Be (0.5000, 0.5000, 0.5000)  4 Sb 2.77, 4 Si 2.77
Si (0.2500, 0.2500, 0.2500)  4 Be 2.77, 4 Si 2.77
Si (0.0000, 0.0000, 0.0000)  4 Si 2.77, 4 Sb 2.77
Sb (0.7500, 0.7500, 0.7500)  4 Si 2.77, 4 Be 2.77



Of them, *x* has the lowest stability.



*w*
Material: BeTlSb2
Method: DFT, PBEsol
State: relaxed

Calculated values
The value obtained for the total magnetic moment is 0.000 μB/f.u.

Cell lengths 5.0856, 5.0856, 5.0856 Å; angles 60.00, 60.00, 60.00 degrees
With the nearest neighbours (Å) after each atom.
Fractional coordinates of all 4 atoms:
Sb (0.7500, 0.7500, 0.7500)  4 Tl 3.11, 4 Be 3.11
Sb (0.2500, 0.2500, 0.2500)  4 Be 3.11, 4 Tl 3.11
Tl (0.5000, 0.5000, 0.5000)  8 Sb 3.11
Be (0.0000, 0.0000, 0.0000)  8 Sb 3.11



*x*
Material: BeTlSb2
Method: DFT, PBEsol
State: relaxed

Calculated values
The value obtained for the total magnetic moment is 0.000 μB/f.u.

Cell lengths 3.8746, 4.9704, 4.9704 Å; angles 101.37, 90.00, 90.00 degrees
With the nearest neighbours (Å) after each atom.
Fractional coordinates of all 4 atoms:
Be (0.5000, 0.5000, 0.5000)  2 Tl 3.15, 8 Sb 3.15
Sb (0.0000, 0.5000, 0.0000)  2 Sb 3.15, 4 Tl 3.15, 4 Be 3.15
Sb (0.0000, 0.0000, 0.5000)  2 Sb 3.15, 4 Be 3.15, 4 Tl 3.15
Tl (0.5000, 0.0000, 0.0000)  2 Be 3.15, 8 Sb 3.15



Of them, *w* has the lowest stability.



*w*
Material: Be2TlSb
Method: DFT, PBEsol
State: relaxed

Calculated values
The value obtained for the total magnetic moment is 0.000 μB/f.u.

Cell lengths 4.4393, 4.8781, 4.4393 Å; angles 117.07, 90.00, 117.07 degrees
With the nearest neighbours (Å) after each atom.
Fractional coordinates of all 4 atoms:
Be (0.7500, 0.5000, 0.2500)  4 Tl 2.90, 4 Sb 2.90, 4 Be 3.14
Be (0.2500, 0.5000, 0.7500)  4 Tl 2.90, 4 Sb 2.90, 4 Be 3.14
Sb (0.5000, 0.0000, 0.5000)  8 Be 2.90, 4 Tl 3.14
Tl (0.0000, 0.0000, 0.0000)  8 Be 2.90, 4 Sb 3.14



*x*
Material: Be2TlSb
Method: DFT, PBEsol
State: relaxed

Calculated values
The value obtained for the total magnetic moment is 0.000 μB/f.u.

Cell lengths 3.8543, 4.8893, 4.8893 Å; angles 66.52, 66.79, 66.79 degrees
With the nearest neighbours (Å) after each atom.
Fractional coordinates of all 4 atoms:
Be (0.7577, 0.2423, 0.2423)  2 Sb 2.60, 2 Tl 2.68
Be (0.2423, 0.7577, 0.7577)  2 Sb 2.60, 2 Tl 2.68
Tl (0.0000, 0.5000, 0.5000)  4 Be 2.68
Sb (0.5000, 0.0000, 0.0000)  4 Be 2.60



Of them, *w* has the lowest stability.



*w*
Material: YBeSb
Method: DFT, PBEsol
State: relaxed

Calculated values
The value obtained for the total magnetic moment is 0.000 μB/f.u.

Cell lengths 4.6601, 4.6601, 4.6601 Å; angles 60.00, 60.00, 60.00 degrees
With the nearest neighbours (Å) after each atom.
Fractional coordinates of all 3 atoms:
Y (0.0000, 0.0000, 0.0000)  4 Sb 2.85
Be (0.5000, 0.5000, 0.5000)  4 Sb 2.85
Sb (0.7500, 0.7500, 0.7500)  4 Be 2.85, 4 Y 2.85



*x*
Material: YBeSb
Method: DFT, PBEsol
State: relaxed

Calculated values
The value obtained for the total magnetic moment is 0.000 μB/f.u.

Cell lengths 4.4232, 4.4232, 4.4232 Å; angles 60.00, 60.00, 60.00 degrees
With the nearest neighbours (Å) after each atom.
Fractional coordinates of all 3 atoms:
Y (0.5000, 0.5000, 0.5000)  4 Be 2.71
Sb (0.0000, 0.0000, 0.0000)  4 Be 2.71
Be (0.7500, 0.7500, 0.7500)  4 Sb 2.71, 4 Y 2.71



Of them, *w* has the lowest stability.



*w*
Material: BeZn2Sb
Method: DFT, PBEsol
State: relaxed

Calculated values
The value obtained for the total magnetic moment is 0.000 μB/f.u.

Cell lengths 3.7439, 4.4771, 4.4771 Å; angles 114.89, 90.00, 90.00 degrees
With the nearest neighbours (Å) after each atom.
Fractional coordinates of all 4 atoms:
Be (0.5000, 0.0000, 0.0000)  2 Sb 2.41
Sb (0.5000, 0.5000, 0.5000)  2 Be 2.41
Zn (0.0000, 0.5000, 0.0000)  2 Zn 2.41
Zn (0.0000, 0.0000, 0.5000)  2 Zn 2.41



*x*
Material: BeZn2Sb
Method: DFT, PBEsol
State: relaxed

Calculated values
The value obtained for the total magnetic moment is 0.000 μB/f.u.

Cell lengths 4.5759, 4.5759, 4.5759 Å; angles 60.00, 60.00, 60.00 degrees
With the nearest neighbours (Å) after each atom.
Fractional coordinates of all 4 atoms:
Zn (0.0000, 0.0000, 0.0000)  4 Sb 2.80, 4 Zn 2.80
Zn (0.7500, 0.7500, 0.7500)  4 Zn 2.80, 4 Be 2.80
Be (0.5000, 0.5000, 0.5000)  4 Sb 2.80, 4 Zn 2.80
Sb (0.2500, 0.2500, 0.2500)  4 Be 2.80, 4 Zn 2.80



Of them, *x* has the lowest stability.



*w*
Material: BeZnSb2
Method: DFT, PBEsol
State: relaxed

Calculated values
The value obtained for the total magnetic moment is 0.000 μB/f.u.

Cell lengths 3.7551, 3.7551, 6.7790 Å; angles 73.92, 73.92, 60.00 degrees
With the nearest neighbours (Å) after each atom.
Fractional coordinates of all 4 atoms:
Zn (0.0000, 0.0000, 0.0000)  6 Sb 2.82
Sb (0.7600, 0.7600, 0.7200)  3 Be 2.59, 3 Zn 2.82
Sb (0.2400, 0.2400, 0.2800)  3 Be 2.59, 3 Zn 2.82
Be (0.5000, 0.5000, 0.5000)  6 Sb 2.59



*x*
Material: BeZnSb2
Method: DFT, PBEsol
State: relaxed

Calculated values
The value obtained for the total magnetic moment is 0.000 μB/f.u.

Cell lengths 3.8526, 3.9183, 5.2746 Å; angles 90.00, 90.00, 90.00 degrees
With the nearest neighbours (Å) after each atom.
Fractional coordinates of all 4 atoms:
Sb (0.0000, 0.0000, 0.0000)  4 Zn 2.75
Sb (0.0000, 0.5000, 0.5000)  4 Be 2.75
Be (0.5000, 0.0000, 0.5000)  4 Sb 2.75
Zn (0.5000, 0.5000, 0.0000)  4 Sb 2.75



Of them, *x* has the lowest stability.



*w*
Material: ScBe2W
Method: DFT, PBEsol
State: relaxed

Calculated values
The value obtained for the total magnetic moment is 0.000 μB/f.u.

Cell lengths 3.3446, 3.9580, 3.9580 Å; angles 90.00, 90.00, 90.00 degrees
With the nearest neighbours (Å) after each atom.
Fractional coordinates of all 4 atoms:
W (0.5000, 0.0000, 0.0000)  8 Be 2.59, 4 Sc 2.80
Be (0.0000, 0.0000, 0.5000)  4 W 2.59, 4 Sc 2.59, 4 Be 2.80
Be (0.0000, 0.5000, 0.0000)  4 W 2.59, 4 Sc 2.59, 4 Be 2.80
Sc (0.5000, 0.5000, 0.5000)  8 Be 2.59, 4 W 2.80



*x*
Material: ScBe2W
Method: DFT, PBEsol
State: relaxed

Calculated values
The value obtained for the total magnetic moment is 0.000 μB/f.u.

Cell lengths 2.8313, 3.3895, 5.5551 Å; angles 90.00, 90.00, 90.00 degrees
With the nearest neighbours (Å) after each atom.
Fractional coordinates of all 4 atoms:
W (0.5000, 0.5000, 0.5000)  8 Be 2.48
Sc (0.5000, 0.5000, 0.0000)  8 Be 2.76, 2 W 2.78, 2 Sc 2.83
Be (0.0000, 0.0000, 0.7030)  1 Be 2.26, 4 W 2.48
Be (0.0000, 0.0000, 0.2970)  1 Be 2.26, 4 W 2.48



Of them, *w* has the lowest stability.